# HoTmGa2Cu2, optimized geometry, DFT GGA-PBE
# **Symmetry**: P-6m2, No. 187
# **VASP energy**: -4.272 eV/atom
# **Theoretical density**: 8.83 g/cm³
data_HoTmGa2Cu2
_cell_length_a 4.339
_cell_length_b 4.339
_cell_length_c 6.925
_cell_angle_alpha 90.00
_cell_angle_beta 90.00
_cell_angle_gamma 120.00
_symmetry_space_group_name_H-M 'P 1'
_symmetry_Int_Tables_number 1
loop_
_symmetry_equiv_pos_as_xyz
'x,y,z'
loop_
_atom_site_label
_atom_site_fract_x
_atom_site_fract_y
_atom_site_fract_z
Cu1 0.667 0.333 0.243
Cu2 0.667 0.333 0.757
Ga1 0.333 0.667 0.734
Ga2 0.333 0.667 0.266
Tm1 0.000 0.000 0.500
Ho1 0.000 0.000 0.000

***

# PrHfNO, optimized geometry, DFT GGA-PBE
# **Symmetry**: Pmc2_1, No. 26
# **VASP energy**: -8.993 eV/atom
# **Theoretical density**: 8.49 g/cm³
data_PrHfNO
_cell_length_a 4.039
_cell_length_b 5.582
_cell_length_c 6.061
_cell_angle_alpha 90.00
_cell_angle_beta 90.00
_cell_angle_gamma 90.00
_symmetry_space_group_name_H-M 'P 1'
_symmetry_Int_Tables_number 1
loop_
_symmetry_equiv_pos_as_xyz
'x,y,z'
loop_
_atom_site_label
_atom_site_fract_x
_atom_site_fract_y
_atom_site_fract_z
Pr1 0.000 0.973 0.699
Pr2 0.000 0.473 0.301
N1 0.000 0.989 0.309
N2 0.000 0.489 0.691
O1 0.500 0.304 0.057
O2 0.500 0.804 0.943
Hf1 0.500 0.988 0.231
Hf2 0.500 0.488 0.769

***

# CuAs3W, optimized geometry, DFT GGA-PBE
# **Symmetry**: C2/m, No. 12
# **VASP energy**: -6.070 eV/atom
# **Theoretical density**: 8.94 g/cm³
data_CuAs3W
_cell_length_a 6.603
_cell_length_b 6.603
_cell_length_c 9.171
_cell_angle_alpha 117.83
_cell_angle_beta 117.83
_cell_angle_gamma 30.06
_symmetry_space_group_name_H-M 'P 1'
_symmetry_Int_Tables_number 1
loop_
_symmetry_equiv_pos_as_xyz
'x,y,z'
loop_
_atom_site_label
_atom_site_fract_x
_atom_site_fract_y
_atom_site_fract_z
As1 0.408 0.408 0.676
As2 0.592 0.592 0.324
As3 0.874 0.874 0.955
As4 0.126 0.126 0.045
As5 0.901 0.901 0.364
As6 0.099 0.099 0.636
W1 0.749 0.749 0.635
W2 0.251 0.251 0.365
Cu1 0.633 0.633 0.858
Cu2 0.367 0.367 0.142

***

Which value of VASP energy does entry 3 give? -6.070 eV/atom

***

Which value of VASP energy does entry 3 give? -6.070 eV/atom

***

Copy entry 1 word for word.
# HoTmGa2Cu2, optimized geometry, DFT GGA-PBE
# **Symmetry**: P-6m2, No. 187
# **VASP energy**: -4.272 eV/atom
# **Theoretical density**: 8.83 g/cm³
data_HoTmGa2Cu2
_cell_length_a 4.339
_cell_length_b 4.339
_cell_length_c 6.925
_cell_angle_alpha 90.00
_cell_angle_beta 90.00
_cell_angle_gamma 120.00
_symmetry_space_group_name_H-M 'P 1'
_symmetry_Int_Tables_number 1
loop_
_symmetry_equiv_pos_as_xyz
'x,y,z'
loop_
_atom_site_label
_atom_site_fract_x
_atom_site_fract_y
_atom_site_fract_z
Cu1 0.667 0.333 0.243
Cu2 0.667 0.333 0.757
Ga1 0.333 0.667 0.734
Ga2 0.333 0.667 0.266
Tm1 0.000 0.000 0.500
Ho1 0.000 0.000 0.000